No. 1
An optimized crystal structure of YNbGe, computed with PBE.

The structure belongs to space group F-43m (No. 216); the cell edges are 6.821, 6.821 and 6.821 Å and the angles 90.00°, 90.00° and 90.00°. The distinct sites, in fractional coordinates, are Y at (0.000, 0.000, 0.000), Nb at (0.250, 0.250, 0.250) and Ge at (0.250, 0.250, 0.750).

The raw total energy is -74.8 eV per cell. The mass density is 5.33 Mg/m³.



No. 2
An optimized crystal structure of Y2NbGe, computed with PBE.

The structure belongs to space group F-43m (No. 216); the cell edges are 7.043, 7.043 and 7.043 Å and the angles 90.00°, 90.00° and 90.00°. The distinct sites, in fractional coordinates, are Y at (0.000, 0.000, 0.000), Y at (0.250, 0.250, 0.250), Nb at (0.250, 0.250, 0.750) and Ge at (0.000, 0.000, 0.500).

The raw total energy is -109.0 eV per cell. The mass density is 6.53 Mg/m³.



No. 3
An optimized crystal structure of YNbGe, computed with PBE.

The structure belongs to space group F-43m (No. 216); the cell edges are 6.524, 6.524 and 6.524 Å and the angles 90.00°, 90.00° and 90.00°. The distinct sites, in fractional coordinates, are Y at (0.000, 0.000, 0.000), Nb at (0.000, 0.000, 0.500) and Ge at (0.250, 0.250, 0.750).

The raw total energy is -85.7 eV per cell. The mass density is 6.09 Mg/m³.



No. 4
An optimized crystal structure of YNb2Ge2, computed with PBE.

The structure belongs to space group I4/mmm (No. 139); the cell edges are 4.055, 4.055 and 12.024 Å and the angles 90.00°, 90.00° and 90.00°. The distinct sites, in fractional coordinates, are Y at (0.000, 0.000, 0.000), Nb at (0.000, 0.500, 0.250) and Ge at (0.000, 0.000, 0.397).

The raw total energy is -77.8 eV per cell. The mass density is 7.05 Mg/m³.



No. 5
An optimized crystal structure of ZrNb2Ge2, computed with PBE.

The structure belongs to space group I4/mmm (No. 139); the cell edges are 3.958, 3.958 and 11.902 Å and the angles 90.00°, 90.00° and 90.00°. The distinct sites, in fractional coordinates, are Zr at (0.000, 0.000, 0.000), Nb at (0.000, 0.500, 0.250) and Ge at (0.000, 0.000, 0.400).

Its distance to the lowest polymorph of the same formula is 0.157 eV per atom. The raw total energy is -80.0 eV per cell. The mass density is 7.52 Mg/m³.



No. 6
An optimized crystal structure of ZrNbGe2, computed with PBE.

The structure belongs to space group F-43m (No. 216); the cell edges are 6.664, 6.664 and 6.664 Å and the angles 90.00°, 90.00° and 90.00°. The distinct sites, in fractional coordinates, are Zr at (0.000, 0.000, 0.000), Nb at (0.250, 0.250, 0.750), Ge at (0.000, 0.000, 0.500) and Ge at (0.250, 0.250, 0.250).

The raw total energy is -109.3 eV per cell. The mass density is 7.39 Mg/m³.



No. 7
An optimized crystal structure of Zr2NbGe, computed with PBE.

The structure belongs to space group F-43m (No. 216); the cell edges are 6.746, 6.746 and 6.746 Å and the angles 90.00°, 90.00° and 90.00°. The distinct sites, in fractional coordinates, are Zr at (0.000, 0.000, 0.000), Zr at (0.250, 0.250, 0.250), Nb at (0.250, 0.250, 0.750) and Ge at (0.000, 0.000, 0.500).

The raw total energy is -128.8 eV per cell. The mass density is 7.53 Mg/m³.



No. 8
An optimized crystal structure of ZrNb2Ge2, computed with PBE.

The structure belongs to space group P4/mbm (No. 127); the cell edges are 7.053, 7.053 and 3.555 Å and the angles 90.00°, 90.00° and 90.00°. The distinct sites, in fractional coordinates, are Zr at (0.000, 0.000, 0.000), Nb at (0.168, 0.332, 0.500) and Ge at (0.130, 0.630, 0.000).

Its distance to the lowest polymorph of the same formula is 0.000 eV per atom. The raw total energy is -81.6 eV per cell. The mass density is 7.93 Mg/m³.



No. 9
An optimized crystal structure of Zr2Nb3Ge4, computed with PBE.

The structure belongs to space group Pnma (No. 62); the cell edges are 6.868, 13.511 and 6.975 Å and the angles 90.00°, 90.00° and 90.00°. The distinct sites, in fractional coordinates, are Zr at (0.151, 0.124, 0.166), Nb at (0.021, 0.591, 0.322), Nb at (0.175, 0.750, 0.996), Ge at (0.045, 0.750, 0.597), Ge at (0.180, 0.250, 0.841) and Ge at (0.197, 0.543, 0.974).

The raw total energy is -282.8 eV per cell. The mass density is 7.71 Mg/m³.



No. 10
An optimized crystal structure of ZrNb2Ge2, computed with PBE.

The structure belongs to space group I4/mmm (No. 139); the cell edges are 4.807, 4.807 and 8.417 Å and the angles 90.00°, 90.00° and 90.00°. The distinct sites, in fractional coordinates, are Zr at (0.000, 0.000, 0.000), Nb at (0.000, 0.000, 0.347) and Ge at (0.000, 0.500, 0.250).

Its distance to the lowest polymorph of the same formula is 0.546 eV per atom. The raw total energy is -76.1 eV per cell. The mass density is 7.21 Mg/m³.



No. 11
An optimized crystal structure of Zr2NbGe2, computed with PBE.

The structure belongs to space group P4/mbm (No. 127); the cell edges are 7.010, 7.010 and 3.795 Å and the angles 90.00°, 90.00° and 90.00°. The distinct sites, in fractional coordinates, are Zr at (0.173, 0.327, 0.000), Nb at (0.000, 0.000, 0.500) and Ge at (0.130, 0.630, 0.500).

The raw total energy is -80.4 eV per cell. The mass density is 7.49 Mg/m³.



No. 12
An optimized crystal structure of Nd2Ge, computed with PBE.

The structure belongs to space group Pnma (No. 62); the cell edges are 7.089, 4.760 and 9.941 Å and the angles 90.00°, 90.00° and 90.00°. The distinct sites, in fractional coordinates, are Nd at (0.070, 0.250, 0.189), Nd at (0.151, 0.250, 0.549) and Ge at (0.212, 0.250, 0.870).

Its distance to the lowest polymorph of the same formula is 0.025 eV per atom. The raw total energy is -63.5 eV per cell. The mass density is 7.15 Mg/m³.



No. 13
An optimized crystal structure of Nd5Ge3, computed with PBE.

The structure belongs to space group P6_3/mcm (No. 193); the cell edges are 9.3159, 9.3159 and 6.2162 Å and the angles 90.00°, 90.00° and 120.00°. The distinct sites, in fractional coordinates, are Nd at (0.0000, 0.2900, 0.2500), Nd at (0.3333, 0.6667, 0.2500) and Ge at (0.0000, 0.3509, 0.7500).

The raw total energy is -82.3 eV per cell. The mass density is 6.68 Mg/m³.



No. 14
An optimized crystal structure of Nd3Ge5, computed with PBE.

The structure belongs to space group Fdd2 (No. 43); the cell edges are 5.946, 17.814 and 14.152 Å and the angles 90.00°, 90.00° and 90.00°. The distinct sites, in fractional coordinates, are Nd at (0.000, 0.000, 0.000), Nd at (0.002, 0.168, 0.508), Ge at (0.000, 0.000, 0.447), Ge at (0.015, 0.338, 0.588) and Ge at (0.037, 0.179, 0.910).

The raw total energy is -346.8 eV per cell. The mass density is 7.05 Mg/m³.



No. 15
An optimized crystal structure of Nd3Ge4, computed with PBE.

The structure belongs to space group Cmcm (No. 63); the cell edges are 4.230, 11.053 and 14.641 Å and the angles 90.00°, 90.00° and 90.00°. The distinct sites, in fractional coordinates, are Nd at (0.000, 0.041, 0.250), Nd at (0.000, 0.329, 0.097), Ge at (0.000, 0.000, 0.000), Ge at (0.000, 0.235, 0.750) and Ge at (0.000, 0.382, 0.609).

The raw total energy is -153.1 eV per cell. The mass density is 7.02 Mg/m³.



No. 16
An optimized crystal structure of NdGe, computed with PBE.

The structure belongs to space group P-6m2 (No. 187); the cell edges are 3.8936, 3.8936 and 4.2168 Å and the angles 90.00°, 90.00° and 120.00°. The distinct sites, in fractional coordinates, are Nd at (0.0000, 0.0000, 0.0000) and Ge at (0.3333, 0.6667, 0.5000).

The raw total energy is -10.2 eV per cell. The mass density is 6.51 Mg/m³.



No. 17
An optimized crystal structure of NdGe, computed with PBE.

The structure belongs to space group F-43m (No. 216); the cell edges are 6.697, 6.697 and 6.697 Å and the angles 90.00°, 90.00° and 90.00°. The distinct sites, in fractional coordinates, are Nd at (0.000, 0.000, 0.000) and Ge at (0.250, 0.250, 0.250).

The raw total energy is -37.2 eV per cell. The mass density is 4.80 Mg/m³.



No. 18
An optimized crystal structure of NdGe2, computed with PBE.

The structure belongs to space group Fd-3m (No. 227, origin choice 2); the cell edges are 8.107, 8.107 and 8.107 Å and the angles 90.00°, 90.00° and 90.00°. The distinct sites, in fractional coordinates, are Nd at (0.125, 0.125, 0.125) and Ge at (0.000, 0.000, 0.500).

The raw total energy is -121.3 eV per cell. The mass density is 7.22 Mg/m³.



No. 19
An optimized crystal structure of Nd2Ge, computed with PBE.

The structure belongs to space group Fd-3m (No. 227, origin choice 2); the cell edges are 8.846, 8.846 and 8.846 Å and the angles 90.00°, 90.00° and 90.00°. The distinct sites, in fractional coordinates, are Nd at (0.000, 0.000, 0.000) and Ge at (0.125, 0.125, 0.625).

Its distance to the lowest polymorph of the same formula is 0.863 eV per atom. The raw total energy is -106.9 eV per cell. The mass density is 6.93 Mg/m³.



No. 20
An optimized crystal structure of Nd2Ge, computed with PBE.

The structure belongs to space group Fd-3m (No. 227, origin choice 2); the cell edges are 12.885, 12.885 and 12.885 Å and the angles 90.00°, 90.00° and 90.00°. The distinct sites, in fractional coordinates, are Nd at (0.000, 0.000, 0.000) and Ge at (0.125, 0.125, 0.125).

Its distance to the lowest polymorph of the same formula is 1.565 eV per atom. The raw total energy is -90.1 eV per cell. The mass density is 2.24 Mg/m³.